[1]
## Pm2TmAl (PBE-GGA)

Data for an optimized crystal structure of Pm2TmAl.

The total magnetic moment comes out at 0.000 μB/atom. As for the energy relative to the elements: -70 kJ/mol of formula units. Its energy above the most stable polymorph in this dataset is 0.00 eV/f.u.

It has space group Amm2 (No. 38), with a = 5.3248 Å, b = 6.9281 Å, c = 12.0875 Å, α = 90.00°, β = 90.00° and γ = 90.00°. Symmetry generates all atoms from Pm at (0.0000, 0.0000, 0.0000), Pm at (0.0000, 0.2332, 0.2360), Pm at (0.5000, 0.0000, 0.6466), Tm at (0.5000, 0.2352, 0.4095), Al at (0.0000, 0.0000, 0.4851) and Al at (0.5000, 0.0000, 0.1577).

---

[2]
## Ho6In5Au (PBE-GGA)

Data for an optimized crystal structure of Ho6In5Au.

The total magnetic moment comes out at 0.000 μB/atom. As for the energy relative to the elements: -581 kJ/mol of formula units.

It has space group P2/m (No. 10), with a = 5.2590 Å, b = 7.4569 Å, c = 8.3159 Å, α = 90.00°, β = 108.09° and γ = 90.00°. Symmetry generates all atoms from Ho at (0.0000, 0.2411, 0.0000), Ho at (0.3384, 0.2459, 0.6765), In at (0.1682, 0.0000, 0.3371), In at (0.1687, 0.5000, 0.3380), In at (0.5000, 0.5000, 0.0000) and Au at (0.5000, 0.0000, 0.0000).

---

[3]
## KBaSb (PBE-GGA)

Data for an optimized crystal structure of KBaSb.

The formation energy without anion corrections is -1.8 eV/f.u. The total magnetic moment comes out at 0.000 μB/atom.

It has space group I4mm (No. 107), with a = 4.7793 Å, b = 4.7793 Å, c = 10.5105 Å, α = 90.00°, β = 90.00° and γ = 90.00°. Symmetry generates all atoms from K at (0.0000, 0.0000, 0.0000), Ba at (0.0000, 0.0000, 0.6911) and Sb at (0.0000, 0.0000, 0.3331).

---

[4]
## KNa2Cr2 (PBE-GGA)

Data for an optimized crystal structure of KNa2Cr2.

The total magnetic moment comes out at 0.000 μB/atom. As for the energy relative to the elements: 483 kJ/mol of formula units. Its energy above the most stable polymorph in this dataset is 0.39 eV/f.u.

It has space group I4/mmm (No. 139), with a = 5.7753 Å, b = 5.7753 Å, c = 9.4032 Å, α = 90.00°, β = 90.00° and γ = 90.00°. Symmetry generates all atoms from K at (0.0000, 0.0000, 0.0000), Na at (0.0000, 0.5000, 0.2500) and Cr at (0.0000, 0.0000, 0.4088).

---

[5]
## Pm7Co2Rh2 (PBE-GGA)

Data for an optimized crystal structure of Pm7Co2Rh2.

The total magnetic moment comes out at 0.000 μB/atom. As for the energy relative to the elements: -162 kJ/mol of formula units.

It has space group Cmmm (No. 65), with a = 7.6770 Å, b = 10.9323 Å, c = 6.8056 Å, α = 90.00°, β = 90.00° and γ = 90.00°. Symmetry generates all atoms from Pm at (0.0000, 0.0000, 0.0000), Pm at (0.0000, 0.5000, 0.2527), Pm at (0.2500, 0.2500, 0.2646), Co at (0.0000, 0.2899, 0.0000) and Rh at (0.1839, 0.0000, 0.5000).

---

[6]
## SmSbCl (PBE-GGA)

Data for an optimized crystal structure of SmSbCl.

The formation energy without anion corrections is -4.2 eV/f.u. The total magnetic moment comes out at 0.000 μB/atom.

It has space group P2_1/c (No. 14), with a = 7.2810 Å, b = 6.0001 Å, c = 7.9972 Å, α = 90.00°, β = 99.25° and γ = 90.00°. Symmetry generates all atoms from Sm at (0.2064, 0.1342, 0.3365), Sb at (0.1470, 0.6339, 0.4630) and Cl at (0.4365, 0.1353, 0.6551).

---

[7]
## Th3GaCo4 (PBE-GGA)

Data for an optimized crystal structure of Th3GaCo4.

The total magnetic moment comes out at 0.000 μB/atom. As for the energy relative to the elements: -242 kJ/mol of formula units.

It has space group C2/m (No. 12), with a = 15.9709 Å, b = 4.0117 Å, c = 5.2985 Å, α = 90.00°, β = 109.29° and γ = 90.00°. Symmetry generates all atoms from Th at (0.0000, 0.0000, 0.0000), Th at (0.1898, 0.0000, 0.6899), Ga at (0.0000, 0.5000, 0.5000), Co at (0.1231, 0.5000, 0.9046) and Co at (0.1236, 0.5000, 0.3427).

---

[8]
## YTlCl2 (PBE-GGA)

Data for an optimized crystal structure of YTlCl2.

The formation energy without anion corrections is -3.7 eV/f.u. The total magnetic moment comes out at 0.000 μB/atom. Its energy above the most stable polymorph in this dataset is 1.64 eV/f.u.

It has space group I-4m2 (No. 119), with a = 4.1816 Å, b = 4.1816 Å, c = 11.4564 Å, α = 90.00°, β = 90.00° and γ = 90.00°. Symmetry generates all atoms from Y at (0.0000, 0.0000, 0.0000), Tl at (0.0000, 0.5000, 0.2500), Cl at (0.0000, 0.0000, 0.5000) and Cl at (0.0000, 0.5000, 0.7500).